Record 1
Compound: PmPr5Tm5
Source: Alexandria
Functional: GGA-PBE
Structure: relaxed

Lattice parameters (Å, degrees): 19.0225 5.9956 7.0753 90.00 111.65 90.00
Last column: nearest neighbours and their distance in Å.
Space group C2/m (No. 12)
Asymmetric unit:
Pm1 0.0000 0.0000 0.0000 (multiplicity 2)  2 Pr 3.00
Pr1 0.0000 0.5000 0.0000 (multiplicity 2)  2 Tm 2.99, 2 Pm 3.00
Pr2 0.1765 0.0000 0.4210 (multiplicity 4)  6 Tm 3.28-3.64, 2 Pr 3.45-3.62, 1 Pm 3.57
Pr3 0.1766 0.0000 0.9332 (multiplicity 4)  6 Tm 3.28-3.64, 2 Pr 3.45-3.62, 1 Pm 3.56
Tm1 0.0000 0.0000 0.5000 (multiplicity 2)  2 Pm 3.54, 4 Pr 3.60-3.62, 4 Tm 3.68
Tm2 0.1212 0.5000 0.6226 (multiplicity 4)  6 Pr 3.64-3.97, 4 Tm 3.64-3.68
Tm3 0.1690 0.5000 0.1702 (multiplicity 4)  3 Pr 2.99-3.28

Computed properties:
Total moment   0.43 μB per formula unit
Theoretical density   7.502 g cm⁻³
VASP energy   -4.380 eV per atom
E_form   2.8 eV/f.u.
V   750.0 Å³/cell

Record 2
Compound: Zn2Ga13
Source: Alexandria
Functional: GGA-PBE
Structure: relaxed

Lattice parameters (Å, degrees): 8.5100 8.5100 17.3033 90.00 90.00 120.00
Last column: nearest neighbours and their distance in Å.
Space group R-3m (No. 166, hexagonal axes)
Asymmetric unit:
Zn1 0.0000 0.0000 0.1537 (multiplicity 6)  4 Ga 2.46-2.66
Ga1 0.0000 0.0000 0.0000 (multiplicity 3)  2 Zn 2.66
Ga2 0.0013 0.5006 0.8035 (multiplicity 18)  1 Zn 2.46, 5 Ga 2.64-2.71
Ga3 0.1059 0.2118 0.3824 (multiplicity 18)  6 Ga 2.47-2.71

Computed properties:
Total moment   0.00 μB per formula unit
Theoretical density   4.761 g cm⁻³
VASP energy   -2.653 eV per atom
E_form   2.1 eV/f.u.
V   1085.2 Å³/cell

Record 3
Compound: AsPdS2
Source: Alexandria
Functional: GGA-PBE
Structure: relaxed

Lattice parameters (Å, degrees): 5.6275 5.6275 11.2803 90.00 90.00 90.00
Last column: nearest neighbours and their distance in Å.
Space group I-42d (No. 122)
Asymmetric unit:
As1 0.0000 0.0000 0.0000 (multiplicity 4)  4 S 2.49
Pd1 0.0000 0.0000 0.5000 (multiplicity 4)  4 S 2.39
S1 0.2346 0.2500 0.6250 (multiplicity 8)  2 Pd 2.39, 2 As 2.49

Computed properties:
Total moment   0.00 μB per formula unit
Theoretical density   4.564 g cm⁻³
VASP energy   -4.444 eV per atom
Raw formation energy   0.32 eV/f.u.
V   357.2 Å³/cell

Record 4
Compound: CdReF6
Source: Alexandria
Functional: GGA-PBE
Structure: relaxed

Lattice parameters (Å, degrees): 5.4700 8.7509 5.4049 90.00 101.80 90.00
Last column: nearest neighbours and their distance in Å.
Space group C2/m (No. 12)
Asymmetric unit:
Cd1 0.0000 0.0000 0.0000 (multiplicity 2)  6 F 2.25-2.31
Re1 0.0000 0.5000 0.5000 (multiplicity 2)  6 F 1.98-1.99
F1 0.2094 0.3533 0.7335 (multiplicity 8)  1 Re 1.99
F2 0.2496 0.0000 0.7174 (multiplicity 4)  1 Re 1.98

Computed properties:
Total moment   3.00 μB per formula unit
Theoretical density   5.411 g cm⁻³
VASP energy   -5.132 eV per atom
Raw formation energy   -16.47 eV/f.u.
Energy above the most stable polymorph in this dataset   29.7 kJ/mol of formula units
V   253.3 Å³/cell